(1)
# PBE-GGA CsHg2N2, optimized geometry
# Energy relative to the elements, uncorrected = 460 kJ/mol of formula units
# Total magnetic moment = 0.00 μB/cell
# SG = I4/mmm (139)
# DOS at the Fermi energy = 1.608 states/eV per cell
data_CsHg2N2
_space_group_name_H-M_alt 'P 1'
_space_group_IT_number 1
_space_group_name_Hall 'P 1'
_cell_length_a 6.802
_cell_length_b 6.802
_cell_length_c 6.802
_cell_angle_alpha 140.94
_cell_angle_beta 140.94
_cell_angle_gamma 56.44
loop_
_atom_site_label
_atom_site_type_symbol
_atom_site_fract_x
_atom_site_fract_y
_atom_site_fract_z
Cs1 Cs 0.000 0.000 0.000
Hg1 Hg 0.292 0.292 0.000
Hg2 Hg 0.708 0.708 0.000
N1 N 0.250 0.750 0.500
N2 N 0.750 0.250 0.500

---

(2)
# PBE-GGA CsHgN, optimized geometry
# Energy relative to the elements, uncorrected = -46 kJ/mol of formula units
# Total magnetic moment = 0.37 μB/cell
# SG = P1 (1)
# DOS at the Fermi energy = 4.900 states/eV per cell
data_CsHgN
_space_group_name_H-M_alt 'P 1'
_space_group_IT_number 1
_space_group_name_Hall 'P 1'
_cell_length_a 5.109
_cell_length_b 7.360
_cell_length_c 7.702
_cell_angle_alpha 86.06
_cell_angle_beta 71.62
_cell_angle_gamma 70.34
loop_
_atom_site_label
_atom_site_type_symbol
_atom_site_fract_x
_atom_site_fract_y
_atom_site_fract_z
Cs1 Cs 0.000 0.000 0.000
Cs2 Cs 0.000 0.500 0.499
Hg1 Hg 0.331 0.420 0.910
Hg2 Hg 0.669 0.580 0.087
N1 N 0.001 0.002 0.574
N2 N 0.008 0.996 0.425